No. 1
A relaxed Ni2C crystal. Source: Alexandria via LeMat-Bulk, functional GGA-PBE.

Unit cell a=2.6836 b=2.6836 c=8.9046 alpha=90.00 beta=90.00 gamma=120.00
Space group P6_3/mmc (No. 194)
One atom of each set of equivalent atoms:
Ni 0.3333 0.6667 0.1180 (multiplicity 4)
C 0.0000 0.0000 0.2500 (multiplicity 2)

Results
Offset from the most stable computed form ... 0.105 eV per atom
Energy of formation ... 0.28 eV per atom



No. 2
A relaxed NiC3 crystal. Source: Alexandria via LeMat-Bulk, functional GGA-PBE.

Unit cell a=2.5089 b=2.5089 c=14.9142 alpha=90.00 beta=90.00 gamma=120.00
Space group R-3m (No. 166, hexagonal axes)
One atom of each set of equivalent atoms:
Ni 0.0000 0.0000 0.0000 (multiplicity 3)
C 0.0000 0.0000 0.2307 (multiplicity 6)
C 0.0000 0.0000 0.5000 (multiplicity 3)

Results
Offset from the most stable computed form ... 1.114 eV per atom
Energy of formation ... 1.77 eV per atom